First-principles (PBE) data for crystalline NaGeSe3 at its relaxed geometry, as listed in Alexandria. Values from VASP.

Properties
- ΔE_f (raw): -0.091 eV per atom
- SG: Pm-3m

Geometry as Quantum ESPRESSO input:
```
&SYSTEM
  ibrav = 0, nat = 5, ntyp = 3
/
ATOMIC_SPECIES
Se 78.96 Se.upf
Ge 72.64 Ge.upf
Na 22.99 Na.upf
CELL_PARAMETERS angstrom
-3.5191 -2.8381 2.3528
-1.7695 -1.5531 -4.5201
3.2341 -3.9380 0.0870
ATOMIC_POSITIONS angstrom
Se -0.8847 -0.7765 -2.2600
Se 1.6170 -1.9690 0.0435
Se -1.7595 -1.4190 1.1764
Ge 0.0000 0.0000 0.0000
Na -1.0273 -4.1646 -1.0401
```

First-principles (PBE) data for crystalline Ho2ThScP4 at its relaxed geometry, as listed in Alexandria. Values from VASP.

Properties
- DFT formation energy: -1550 meV per atom
- SG: P2/m

Geometry as Quantum ESPRESSO input:
```
&SYSTEM
  ibrav = 0, nat = 8, ntyp = 4
/
ATOMIC_SPECIES
P 30.97 P.upf
Th 232.04 Th.upf
Ho 164.93 Ho.upf
Sc 44.96 Sc.upf
CELL_PARAMETERS angstrom
3.9943 0.0000 0.0000
0.0000 6.8719 0.1138
0.0000 -2.4087 6.4755
ATOMIC_POSITIONS angstrom
P 0.0000 -0.1585 4.8697
P 0.0000 4.6217 1.7196
P 1.9972 1.0517 1.6082
P 1.9972 3.4115 4.9811
Th 1.9972 3.4359 0.0569
Ho 1.9972 -1.2043 3.2378
Ho 0.0000 2.2316 3.2947
Sc 0.0000 0.0000 0.0000
```

First-principles (PBE) data for crystalline Co5Ir4Rh2 at its relaxed geometry, as listed in Alexandria. Values from VASP.

Properties
- DFT formation energy: 283 meV per atom
- SG: Pbam

Geometry as Quantum ESPRESSO input:
```
&SYSTEM
  ibrav = 0, nat = 22, ntyp = 3
/
ATOMIC_SPECIES
Ir 192.22 Ir.upf
Rh 102.91 Rh.upf
Co 58.93 Co.upf
CELL_PARAMETERS angstrom
3.8289 0.0000 0.0000
0.0000 5.2236 0.0000
0.0000 0.0000 15.2784
ATOMIC_POSITIONS angstrom
Ir 1.9144 4.7498 13.0698
Ir 1.9144 3.0857 5.4306
Ir 1.9144 1.2103 7.2968
Ir 1.9144 0.4738 2.2086
Ir 1.9144 3.8222 0.3424
Ir 1.9144 4.0133 7.9816
Ir 1.9144 2.1380 9.8478
Ir 1.9144 1.4015 14.9360
Rh 1.9144 0.4621 4.8502
Rh 1.9144 3.0739 2.7890
Rh 1.9144 4.7615 10.4282
Rh 1.9144 2.1497 12.4893
Co 0.0000 0.5228 8.8772
Co 0.0000 4.7008 6.4011
Co 0.0000 0.9258 11.2982
Co 0.0000 2.6118 7.6392
Co 0.0000 1.6860 3.6590
Co 0.0000 4.2978 3.9801
Co 0.0000 3.5377 11.6193
Co 0.0000 3.1346 14.0403
Co 0.0000 0.0000 0.0000
Co 0.0000 2.0890 1.2380
```

First-principles (PBE) data for crystalline SrZnAs2 at its relaxed geometry, as listed in Alexandria. Values from VASP.

Properties
- DFT formation energy: -335 meV per atom
- SG: P4/mmm

Geometry as Quantum ESPRESSO input:
```
&SYSTEM
  ibrav = 0, nat = 4, ntyp = 3
/
ATOMIC_SPECIES
Zn 65.41 Zn.upf
As 74.92 As.upf
Sr 87.62 Sr.upf
CELL_PARAMETERS angstrom
-3.0349 -3.4324 -0.2136
2.8372 -2.6606 2.4309
-1.8020 1.3689 3.6019
ATOMIC_POSITIONS angstrom
Zn 0.5176 -0.6458 3.0164
As 0.0000 0.0000 0.0000
As -0.0989 -3.0465 1.1086
Sr -2.4185 -1.0317 1.6941
```

First-principles (PBE) data for crystalline HfIn2Mo at its relaxed geometry, as listed in Alexandria. Values from VASP.

Properties
- DFT formation energy: 515 meV per atom
- SG: I-42d

Geometry as Quantum ESPRESSO input:
```
&SYSTEM
  ibrav = 0, nat = 8, ntyp = 3
/
ATOMIC_SPECIES
In 114.82 In.upf
Mo 95.94 Mo.upf
Hf 178.49 Hf.upf
CELL_PARAMETERS angstrom
7.7354 0.0000 0.0000
0.0000 7.7354 0.0000
3.8677 3.8677 2.9103
ATOMIC_POSITIONS angstrom
In 5.6800 1.9339 0.7276
In 9.6693 9.5477 2.1827
In 2.0554 5.8016 0.7276
In 5.8016 5.9231 2.1827
Mo 3.8677 3.8677 0.0000
Mo 3.8677 7.7354 1.4551
Hf 0.0000 0.0000 0.0000
Hf 7.7354 3.8677 1.4551
```

First-principles (PBE) data for crystalline KNaMoCl6 at its relaxed geometry, as listed in Alexandria. Values from VASP.

Properties
- ΔE_f (raw): -1.325 eV per atom
- SG: P-31c

Geometry as Quantum ESPRESSO input:
```
&SYSTEM
  ibrav = 0, nat = 18, ntyp = 4
/
ATOMIC_SPECIES
Na 22.99 Na.upf
Cl 35.45 Cl.upf
K 39.10 K.upf
Mo 95.94 Mo.upf
CELL_PARAMETERS angstrom
-0.4881 3.2973 -6.0946
1.3316 -6.8157 0.1647
-12.9537 -2.5390 -0.3362
ATOMIC_POSITIONS angstrom
Na -9.5968 -1.9779 -4.2603
Na -2.5134 -4.0795 -2.0058
Cl -1.8774 0.4298 -5.8070
Cl -4.8649 0.9453 -4.1055
Cl -10.1098 -6.6662 -3.8446
Cl -1.3790 -2.3597 -3.9417
Cl -4.2603 -1.9103 -5.8344
Cl -10.7311 -3.6977 -2.3244
Cl -7.8498 -4.1471 -0.4317
Cl -7.7724 -4.0927 -3.8229
Cl -10.2328 -6.4872 -0.4591
Cl -4.3377 -1.9646 -2.4432
Cl -2.0003 0.6088 -2.4215
Cl -7.2452 -7.0027 -2.1606
K 0.0000 0.0000 0.0000
K -6.4768 -1.2695 -0.1681
Mo -3.1199 -0.7085 -4.0922
Mo -8.9902 -5.3489 -2.1739
```

First-principles (PBE) data for crystalline AcPmSm2Er at its relaxed geometry, as listed in Alexandria. Values from VASP.

Properties
- DFT formation energy: 350 meV per atom
- SG: Cmcm

Geometry as Quantum ESPRESSO input:
```
&SYSTEM
  ibrav = 0, nat = 10, ntyp = 4
/
ATOMIC_SPECIES
Sm 150.36 Sm.upf
Pm 145.00 Pm.upf
Ac 227.00 Ac.upf
Er 167.26 Er.upf
CELL_PARAMETERS angstrom
7.3406 0.0000 0.0000
0.0000 8.3719 0.0000
0.0000 -4.1860 6.0912
ATOMIC_POSITIONS angstrom
Sm 3.6703 5.8158 0.0000
Sm 0.0000 5.8158 0.0000
Sm 0.0000 2.5561 0.0000
Sm 3.6703 2.5561 0.0000
Pm 5.5055 4.1860 5.4049
Pm 1.8352 0.0000 0.6863
Ac 5.5055 0.0000 2.9663
Ac 1.8352 4.1860 3.1248
Er 5.5055 4.1860 2.3449
Er 1.8352 0.0000 3.7463
```

First-principles (PBE) data for crystalline CsCdHgCl5 at its relaxed geometry, as listed in Alexandria. Values from VASP.

Properties
- ΔE_f (raw): -1.136 eV per atom
- SG: C2/c

Geometry as Quantum ESPRESSO input:
```
&SYSTEM
  ibrav = 0, nat = 16, ntyp = 4
/
ATOMIC_SPECIES
Cl 35.45 Cl.upf
Hg 200.59 Hg.upf
Cd 112.41 Cd.upf
Cs 132.91 Cs.upf
CELL_PARAMETERS angstrom
7.8104 -0.0916 0.0848
-2.3676 7.4435 0.0848
-2.1573 -2.9140 9.0171
ATOMIC_POSITIONS angstrom
Cl -2.8889 2.5627 8.2664
Cl -1.0876 4.9958 5.4288
Cl 3.5134 3.2765 4.1309
Cl -2.2276 6.2120 2.3391
Cl 5.5130 -1.7742 6.8476
Cl 1.0295 2.8599 8.6395
Cl 4.3730 -0.5580 3.7579
Cl 2.2559 1.5779 0.5472
Cl -0.2280 1.1613 5.0557
Cl 6.1744 1.8752 0.9202
Hg 4.0781 1.5437 2.3391
Hg -0.7927 2.8941 6.8476
Cd 0.0000 0.0000 0.0000
Cd -1.0787 -1.4570 4.5085
Cs 2.6963 0.3111 6.8476
Cs 0.5892 4.1267 2.3391
```

First-principles (PBE) data for crystalline Li3Ac2Cu12Rh at its relaxed geometry, as listed in Alexandria. Values from VASP.

Properties
- DFT formation energy: 99 meV per atom
- SG: R-3m

Geometry as Quantum ESPRESSO input:
```
&SYSTEM
  ibrav = 0, nat = 18, ntyp = 4
/
ATOMIC_SPECIES
Li 6.94 Li.upf
Cu 63.55 Cu.upf
Ac 227.00 Ac.upf
Rh 102.91 Rh.upf
CELL_PARAMETERS angstrom
10.0528 2.4211 1.7172
7.0698 7.5458 1.7172
7.0698 4.1152 6.5538
ATOMIC_POSITIONS angstrom
Li 3.5349 3.7729 0.8586
Li 5.0264 1.2105 0.8586
Li 3.5349 2.0576 3.2769
Cu 18.4447 8.7750 8.3022
Cu 5.7478 5.3071 1.6860
Cu 16.7392 11.7049 8.3022
Cu 7.4533 2.3771 1.6860
Cu 18.4447 10.7363 5.5370
Cu 10.1388 7.2868 5.1685
Cu 5.7478 3.3457 4.4513
Cu 12.8492 8.8645 4.8198
Cu 12.8492 7.4793 6.7727
Cu 14.0537 6.7952 4.8198
Cu 11.3433 6.6027 3.2155
Cu 11.3433 5.2175 5.1685
Ac 15.6018 9.0815 6.4414
Ac 8.5907 5.0005 3.5468
Rh 0.0000 0.0000 0.0000
```

First-principles (PBE) data for crystalline Tl3TcRh at its relaxed geometry, as listed in Alexandria. Values from VASP.

Properties
- DFT formation energy: 950 meV per atom
- SG: Pm-3m

Geometry as Quantum ESPRESSO input:
```
&SYSTEM
  ibrav = 0, nat = 5, ntyp = 3
/
ATOMIC_SPECIES
Tc 98.00 Tc.upf
Tl 204.38 Tl.upf
Rh 102.91 Rh.upf
CELL_PARAMETERS angstrom
-2.3701 -2.6072 -3.8358
-3.8354 -1.3203 3.2672
-2.6078 4.3114 -1.3191
ATOMIC_POSITIONS angstrom
Tc -4.4067 0.1919 -0.9439
Tl -1.1850 -1.3036 -1.9179
Tl -1.3039 2.1557 -0.6596
Tl -1.9177 -0.6601 1.6336
Rh 0.0000 0.0000 0.0000
```

First-principles (PBE) data for crystalline Ho4ErCd at its relaxed geometry, as listed in Alexandria. Values from VASP.

Properties
- DFT formation energy: -89 meV per atom
- SG: P4/mmm

Geometry as Quantum ESPRESSO input:
```
&SYSTEM
  ibrav = 0, nat = 6, ntyp = 3
/
ATOMIC_SPECIES
Ho 164.93 Ho.upf
Cd 112.41 Cd.upf
Er 167.26 Er.upf
CELL_PARAMETERS angstrom
3.5327 0.0000 0.0000
0.0000 3.5327 0.0000
0.0000 0.0000 14.0886
ATOMIC_POSITIONS angstrom
Ho 1.7664 1.7664 11.6129
Ho 0.0000 0.0000 9.1324
Ho 1.7664 1.7664 2.4757
Ho 0.0000 0.0000 4.9561
Cd 1.7664 1.7664 7.0443
Er 0.0000 0.0000 0.0000
```